Rb5Ge2S6 | PBE | relaxed

```
Rb5Ge2S6
1.0
-6.340 3.221 3.084
-5.583 -5.014 1.941
3.606 -1.990 16.725
Rb Ge S
10 4 12
direct
0.685 0.215 0.998 Rb
0.785 0.315 0.502 Rb
0.315 0.785 0.002 Rb
0.215 0.685 0.498 Rb
0.750 0.935 0.721 Rb
0.065 0.250 0.779 Rb
0.250 0.065 0.279 Rb
0.935 0.750 0.221 Rb
0.367 0.633 0.750 Rb
0.633 0.367 0.250 Rb
0.361 0.092 0.573 Ge
0.908 0.639 0.927 Ge
0.639 0.908 0.427 Ge
0.092 0.361 0.073 Ge
0.111 0.022 0.626 S
0.978 0.889 0.874 S
0.889 0.978 0.374 S
0.022 0.111 0.126 S
0.397 0.301 0.639 S
0.699 0.603 0.861 S
0.603 0.699 0.361 S
0.301 0.397 0.139 S
0.641 0.797 0.566 S
0.203 0.359 0.934 S
0.359 0.203 0.434 S
0.797 0.641 0.066 S
```

Values from the calculation:
**E**: -101.26 eV for the cell shown
**Space-group type**: C2/c (15)
**M_tot**: 0.2 μB/f.u.